Record 1
## CdAsC3 (PBE)

Data for crystalline CdAsC3 at its relaxed geometry.

Computed properties:
Its total DFT energy (no corrections) is -3.23 eV per atom. Its energy relative to the elements is 3.415 eV per atom. For the total magnetization, the calculation gives 1.3 μB/f.u. The density of states at the Fermi level comes out at 0.62 states/eV per atom.

```
5
Lattice="4.2926 0.0000 0.0000 0.0000 4.2926 0.0000 0.0000 0.0000 4.2926" Properties=species:S:1:pos:R:3 pbc="T T T"
C 2.1463 0.0000 0.0000
C 0.0000 0.0000 2.1463
C 0.0000 2.1463 0.0000
Cd 0.0000 0.0000 0.0000
As 2.1463 2.1463 2.1463
```


Record 2
## CdAs2C (PBE)

Data for crystalline CdAs2C at its relaxed geometry.

Computed properties:
Its total DFT energy (no corrections) is -3.32 eV per atom. Its energy relative to the elements is 1.544 eV per atom. For the total magnetization, the calculation gives 0.0 μB/f.u. The density of states at the Fermi level comes out at 0.61 states/eV per atom.

```
4
Lattice="0.0000 3.2689 3.2689 3.2689 0.0000 3.2689 3.2689 3.2689 0.0000" Properties=species:S:1:pos:R:3 pbc="T T T"
Cd 3.2689 3.2689 3.2689
C 0.0000 0.0000 0.0000
As 4.9034 4.9034 4.9034
As 1.6345 1.6345 1.6345
```